Record 1
VASP calculation (GGA-PBEsol) on an optimized crystal structure of LaTiAuC2.

Output
The calculation puts the total energy at -5.31 eV per atom. The energy of formation is 2.062 eV/atom.

The structure in POSCAR format:
```
LaTiAuC2
1.0
-1.371 -0.266 4.102
0.370 -4.314 -0.156
5.162 0.379 1.750
C Ti Au La
2 1 1 1
Cartesian
0.185 -2.157 -0.078
-0.686 -0.133 2.051
2.080 -2.100 2.848
2.581 0.190 0.875
0.000 0.000 0.000
```

=====

Record 2
VASP calculation (GGA-PBEsol) on an optimized crystal structure of MgNiAu2C.

Output
The calculation puts the total energy at -3.33 eV per atom. The energy of formation is 1.741 eV/atom.

The structure in POSCAR format:
```
MgNiAu2C
1.0
-0.428 4.155 1.716
1.218 -1.592 4.161
4.433 0.857 -0.970
Ni Mg Au C
1 1 2 1
Cartesian
0.000 0.000 0.000
-0.214 2.078 0.858
2.217 0.429 -0.485
0.609 -0.796 2.080
2.612 1.710 2.453
```

=====

Record 3
VASP calculation (GGA-PBEsol) on an optimized crystal structure of Mn3AuC.

Output
The calculation puts the total energy at -8.53 eV per atom. The energy of formation is 0.044 eV/atom.

The structure in POSCAR format:
```
Mn3AuC
1.0
3.897 0.000 0.000
0.000 3.897 0.000
0.000 0.000 3.897
C Mn Au
1 3 1
Cartesian
0.000 0.000 0.000
0.000 1.949 0.000
0.000 0.000 1.949
1.949 0.000 0.000
1.949 1.949 1.949
```

=====

Record 4
VASP calculation (GGA-PBEsol) on an optimized crystal structure of MnTeAuC2.

Output
The calculation puts the total energy at -5.32 eV per atom. For the formation energy from raw total energies, the calculation gives 9.9 eV per formula unit.

The structure in POSCAR format:
```
MnTeAuC2
1.0
3.940 0.000 0.000
0.000 3.940 0.000
0.000 0.000 5.589
C Te Au Mn
2 1 1 1
Cartesian
0.000 1.970 0.000
1.970 0.000 0.000
1.970 1.970 2.794
0.000 0.000 0.000
0.000 0.000 2.794
```

=====

Record 5
VASP calculation (GGA-PBEsol) on an optimized crystal structure of MnTl2AuC.

Output
The calculation puts the total energy at -4.43 eV per atom. The energy of formation is 1.285 eV/atom.

The structure in POSCAR format:
```
MnTl2AuC
1.0
-3.111 -0.443 2.060
2.320 -4.609 2.512
2.231 3.352 4.090
Tl Mn Au C
2 1 1 1
Cartesian
1.116 1.676 2.045
1.160 -2.305 1.256
0.721 -0.850 4.331
0.000 0.000 0.000
-1.555 -0.221 1.030
```

=====

Record 6
VASP calculation (GGA-PBEsol) on an optimized crystal structure of MoAuCS2.

Output
The calculation puts the total energy at -4.22 eV per atom. For the formation energy from raw total energies, the calculation gives 13.0 eV per formula unit.

The structure in POSCAR format:
```
MoAuCS2
1.0
-2.503 3.349 1.887
-3.714 -1.524 -2.220
-1.148 -3.165 4.094
C Mo Au S
1 1 1 2
Cartesian
-3.683 -0.670 1.881
-0.574 -1.583 2.047
0.000 0.000 0.000
-1.857 -0.762 -1.110
-1.252 1.675 0.944
```

=====

Record 7
VASP calculation (GGA-PBEsol) on an optimized crystal structure of SiMo2AuC.

Output
The calculation puts the total energy at -8.22 eV per atom. For the formation energy from raw total energies, the calculation gives 1.7 eV per formula unit.

The structure in POSCAR format:
```
SiMo2AuC
1.0
-1.928 -0.110 3.152
-3.383 -1.408 -2.118
1.263 -3.989 0.634
C Mo Au Si
1 2 1 1
Cartesian
0.000 0.000 0.000
0.632 -1.995 0.317
-1.691 -0.704 -1.059
-2.024 -2.753 0.834
-0.964 -0.055 1.576
```

=====

Record 8
VASP calculation (GGA-PBEsol) on an optimized crystal structure of Au3CN.

Output
The calculation puts the total energy at -4.30 eV per atom. For the formation energy from raw total energies, the calculation gives 8.5 eV per formula unit.

The structure in POSCAR format:
```
Au3CN
1.0
4.231 0.000 0.000
0.000 4.231 0.000
0.000 0.000 4.231
C Au N
1 3 1
Cartesian
0.000 0.000 0.000
0.000 2.116 0.000
0.000 0.000 2.116
2.116 0.000 0.000
2.116 2.116 2.116
```

=====

Record 9
VASP calculation (GGA-PBEsol) on an optimized crystal structure of Na3AuC.

Output
The calculation puts the total energy at -2.73 eV per atom. The energy of formation is 0.826 eV/atom.

The structure in POSCAR format:
```
Na3AuC
1.0
-0.037 -4.195 2.376
4.416 0.924 1.700
-1.934 2.190 3.836
Na C Au
3 1 1
Cartesian
2.208 0.462 0.850
-0.967 1.095 1.918
-0.019 -2.098 1.188
0.000 0.000 0.000
1.222 -0.541 3.956
```

=====

Record 10
VASP calculation (GGA-PBEsol) on an optimized crystal structure of Na2Au2C.

Output
The calculation puts the total energy at -2.60 eV per atom. The energy of formation is 1.456 eV/atom.

The structure in POSCAR format:
```
Na2Au2C
1.0
-2.752 0.309 2.072
-0.878 -3.276 -0.677
5.783 -0.737 4.903
Na C Au
2 1 2
Cartesian
1.545 -2.748 2.462
0.608 -0.955 3.836
0.000 0.000 0.000
3.252 -1.819 4.590
-1.099 -1.884 1.708
```

=====

Record 11
VASP calculation (GGA-PBEsol) on an optimized crystal structure of NaAuC2.

Output
The calculation puts the total energy at -4.18 eV per atom. The energy of formation is 1.968 eV/atom.

The structure in POSCAR format:
```
NaAuC2
1.0
3.970 0.000 0.000
1.985 3.438 0.000
1.985 1.146 3.241
Na C Au
1 2 1
Cartesian
0.000 0.000 0.000
1.985 1.146 0.810
5.954 3.438 2.431
3.970 2.292 1.621
```

=====

Record 12
VASP calculation (GGA-PBEsol) on an optimized crystal structure of NaZrAu2C.

Output
The calculation puts the total energy at -4.03 eV per atom. The energy of formation is 1.571 eV/atom.

The structure in POSCAR format:
```
NaZrAu2C
1.0
-1.257 -3.737 1.469
1.834 1.021 4.167
-4.057 1.886 1.324
Na C Au Zr
1 1 2 1
Cartesian
0.000 0.000 0.000
-0.629 -1.868 0.734
-2.029 0.943 0.662
0.917 0.510 2.084
-1.740 -0.415 3.480
```